Entry 1:
First-principles (GGA-PBE) data for a relaxed structure of FeOs2Pb, as listed in Alexandria.

a = 4.4919 Å, b = 4.4919 Å, c = 4.4919 Å
α = 60.00°, β = 60.00°, γ = 60.00°
Sites, in units of the cell vectors:
Fe: 0.0000 0.0000 0.0000
Os: 0.5000 0.5000 0.5000
Os: 0.7500 0.7500 0.7500
Pb: 0.2500 0.2500 0.2500

Values from the calculation:
- formation energy (eV per formula unit) = 3.7

Entry 2:
First-principles (GGA-PBE) data for a relaxed structure of Pm7Cu2Ir2, as listed in Alexandria.

a = 6.7887 Å, b = 6.7887 Å, c = 7.1824 Å
α = 90.00°, β = 90.00°, γ = 108.75°
Sites, in units of the cell vectors:
Pm: 0.0000 0.0000 0.0000
Pm: 0.0000 0.5000 0.2642
Pm: 0.0000 0.5000 0.7358
Pm: 0.5000 0.0000 0.2642
Pm: 0.5000 0.0000 0.7358
Pm: 0.5000 0.5000 0.2562
Pm: 0.5000 0.5000 0.7438
Cu: 0.1683 0.1683 0.5000
Cu: 0.8317 0.8317 0.5000
Ir: 0.2925 0.7075 0.0000
Ir: 0.7075 0.2925 0.0000

Values from the calculation:
- formation energy (eV per formula unit) = -2.4

Entry 3:
First-principles (GGA-PBE) data for a relaxed structure of LiAc2P, as listed in Alexandria.

a = 3.9273 Å, b = 3.9273 Å, c = 7.6671 Å
α = 90.00°, β = 90.00°, γ = 90.00°
Sites, in units of the cell vectors:
Li: 0.0000 0.0000 0.0000
Ac: 0.5000 0.5000 0.2776
Ac: 0.5000 0.5000 0.7224
P: 0.0000 0.0000 0.5000

Values from the calculation:
- formation energy (eV per formula unit) = -2.0

Entry 4:
First-principles (GGA-PBE) data for a relaxed structure of Fe, as listed in Alexandria.

a = 3.9722 Å, b = 3.9722 Å, c = 2.4006 Å
α = 90.00°, β = 90.00°, γ = 120.00°
Sites, in units of the cell vectors:
Fe: 0.0000 0.0000 0.0000
Fe: 0.3333 0.6667 0.5000
Fe: 0.6667 0.3333 0.5000

Values from the calculation:
- formation energy (eV per formula unit) = 0.2

Entry 5:
First-principles (GGA-PBE) data for a relaxed structure of DyPaInHg, as listed in Alexandria.

a = 5.3029 Å, b = 5.3029 Å, c = 5.3029 Å
α = 60.00°, β = 60.00°, γ = 60.00°
Sites, in units of the cell vectors:
Dy: 0.0000 0.0000 0.0000
Pa: 0.5000 0.5000 0.5000
In: 0.7500 0.7500 0.7500
Hg: 0.2500 0.2500 0.2500

Values from the calculation:
- formation energy (eV per formula unit) = -0.3

Entry 6:
First-principles (GGA-PBE) data for a relaxed structure of LiTbGa, as listed in Alexandria.

a = 4.4428 Å, b = 3.5838 Å, c = 8.5182 Å
α = 90.00°, β = 90.00°, γ = 90.00°
Sites, in units of the cell vectors:
Li: 0.2500 0.0000 0.0874
Li: 0.7500 0.0000 0.9126
Tb: 0.2500 0.5000 0.7110
Tb: 0.7500 0.5000 0.2890
Ga: 0.2500 0.0000 0.4103
Ga: 0.7500 0.0000 0.5897

Values from the calculation:
- formation energy (eV per formula unit) = -1.0

DOS at the Fermi energy per entry: 4.5, 13.1, 3.2, 3.6, 8.1, 4.5 states/eV/cell